DFT (PBE with a Hubbard U) results for NpCrF5 after structural relaxation.

a = 5.9506 Å, b = 5.9506 Å, c = 7.7321 Å
α = 108.76°, β = 108.76°, γ = 76.48°
Last column: nearest neighbours and their distance in Å.
Atoms (fractional coordinates):
Np: 0.0495 0.9505 0.7500  7 F 2.28-2.53
Np: 0.9505 0.0495 0.2500  7 F 2.28-2.53
Cr: 0.5000 0.5000 0.0000  4 F 2.01-2.09
Cr: 0.5000 0.5000 0.5000  4 F 2.01-2.09
F: 0.1673 0.8097 0.0326  2 Np 2.35-2.43, 1 Cr 2.39
F: 0.1903 0.8327 0.4674  2 Np 2.35-2.43, 1 Cr 2.39
F: 0.2384 0.2937 0.3743  1 Cr 2.01
F: 0.2937 0.2384 0.8743  1 Cr 2.01
F: 0.3926 0.6074 0.7500  2 Cr 2.09
F: 0.6074 0.3926 0.2500  2 Cr 2.09
F: 0.7063 0.7616 0.1257  1 Cr 2.01
F: 0.7616 0.7063 0.6257  1 Cr 2.01
F: 0.8097 0.1673 0.5326  2 Np 2.35-2.43, 1 Cr 2.39
F: 0.8327 0.1903 0.9674  2 Np 2.35-2.43, 1 Cr 2.39

Computed properties:
ρ ... 5251 kg/m3
D(E_F) ... 12.15 states/eV/cell
Raw total energy ... -7.291 eV/atom
V ... 17.35 Å³/atom
SG ... C2/c (15)